# 1
Material: HoTeAuO
Method: DFT, PBE
State: relaxed

CIF file:
```
data_HoTeAuO
_chemical_formula_sum 'Ho2 Te2 Au2 O2'
_space_group_name_H-M_alt 'P 1'
_space_group_IT_number 1
_cell_length_a 4.006
_cell_length_b 4.006
_cell_length_c 10.033
_cell_angle_alpha 90.00
_cell_angle_beta 90.00
_cell_angle_gamma 90.00
loop_
_space_group_symop_operation_xyz
'x,y,z'
loop_
_atom_site_label
_atom_site_type_symbol
_atom_site_fract_x
_atom_site_fract_y
_atom_site_fract_z
Au1 Au 0.750 0.250 0.500
Au2 Au 0.250 0.750 0.500
Ho1 Ho 0.250 0.250 0.106
Ho2 Ho 0.750 0.750 0.894
O1 O 0.750 0.250 0.000
O2 O 0.250 0.750 0.000
Te1 Te 0.750 0.750 0.284
Te2 Te 0.250 0.250 0.716
```

The calculation puts the polymorph energy (0 for the lowest one) at 0.040 eV per atom. As for the space-group type: P4/nmm.



# 2
Material: HoTeAuO
Method: DFT, PBE
State: relaxed

CIF file:
```
data_HoTeAuO
_chemical_formula_sum 'Ho2 Te2 Au2 O2'
_space_group_name_H-M_alt 'P 1'
_space_group_IT_number 1
_cell_length_a 4.019
_cell_length_b 4.019
_cell_length_c 10.340
_cell_angle_alpha 90.00
_cell_angle_beta 90.00
_cell_angle_gamma 90.02
loop_
_space_group_symop_operation_xyz
'x,y,z'
loop_
_atom_site_label
_atom_site_type_symbol
_atom_site_fract_x
_atom_site_fract_y
_atom_site_fract_z
Au1 Au 0.873 0.127 0.500
Au2 Au 0.373 0.627 0.500
Ho1 Ho 0.122 0.378 0.102
Ho2 Ho 0.622 0.878 0.898
O1 O 0.622 0.378 0.000
O2 O 0.122 0.878 0.000
Te1 Te 0.623 0.877 0.277
Te2 Te 0.123 0.377 0.723
```

The calculation puts the polymorph energy (0 for the lowest one) at 0.000 eV per atom. As for the space-group type: Aem2.